Density functional theory data (PBE) for a geometry-optimized Pm2Mg3Pb4 structure.

Properties
As for the energy relative to the elements: -29.8 kJ/mol of atoms. Its space group is Cmce (64). The total energy comes out at -3.54 eV per atom.

POSCAR file:
```
Pm2Mg3Pb4
1.0
6.636 0.000 0.000
0.000 8.748 0.000
-3.318 0.000 8.448
Pm Mg Pb
4 6 8
Cartesian
0.000 5.106 1.941
3.318 3.642 6.507
0.000 0.732 6.507
3.318 8.016 1.941
0.000 0.000 0.000
3.318 4.374 0.000
1.659 6.561 4.818
4.977 2.187 3.631
1.659 2.187 3.631
-1.659 6.561 4.818
1.659 6.561 7.718
4.977 2.187 0.730
1.659 2.187 0.730
-1.659 6.561 7.718
0.000 8.317 3.102
3.318 0.431 5.346
0.000 3.943 5.346
3.318 4.805 3.102
```